No. 1
Here is an optimized crystal structure of CaH3Pt from the Alexandria database. Energies are from PBE.

Calculated values
mass density = 6.62 g cm⁻³
symmetry = No. 62
total DFT energy (no corrections) = -0.295 Ry per atom

Cell and atoms, written as CIF:
```
data_CaH3Pt
_chemical_formula_sum 'Ca4 H12 Pt4'
_space_group_name_H-M_alt 'P 1'
_space_group_IT_number 1
_space_group_name_Hall 'P 1'
_cell_length_a 4.541
_cell_length_b 8.403
_cell_length_c 6.265
_cell_angle_alpha 90.00
_cell_angle_beta 90.00
_cell_angle_gamma 90.00
loop_
_atom_site_label
_atom_site_type_symbol
_atom_site_fract_x
_atom_site_fract_y
_atom_site_fract_z
Ca1 Ca 0.000 0.000 0.000
Ca2 Ca 0.000 0.500 0.000
Ca3 Ca 0.500 0.000 0.500
Ca4 Ca 0.500 0.500 0.500
H1 H 0.011 0.118 0.393
H2 H 0.011 0.382 0.393
H3 H 0.114 0.250 0.865
H4 H 0.386 0.750 0.365
H5 H 0.489 0.618 0.893
H6 H 0.489 0.882 0.893
H7 H 0.511 0.118 0.107
H8 H 0.511 0.382 0.107
H9 H 0.614 0.250 0.635
H10 H 0.886 0.750 0.135
H11 H 0.989 0.618 0.607
H12 H 0.989 0.882 0.607
Pt1 Pt 0.003 0.250 0.592
Pt2 Pt 0.497 0.750 0.092
Pt3 Pt 0.503 0.250 0.908
Pt4 Pt 0.997 0.750 0.408
```

No. 2
Here is an optimized crystal structure of FeW3Se from the Alexandria database. Energies are from PBE.

Calculated values
mass density = 12.46 g cm⁻³
symmetry = No. 221
uncorrected formation energy = 1.51 eV per atom
total DFT energy (no corrections) = -0.636 Ry per atom
energy relative to the lowest polymorph listed for this composition = 0 meV per atom

Cell and atoms, written as CIF:
```
data_FeW3Se
_chemical_formula_sum 'Fe1 W3 Se1'
_space_group_name_H-M_alt 'P 1'
_space_group_IT_number 1
_space_group_name_Hall 'P 1'
_cell_length_a 4.505
_cell_length_b 4.505
_cell_length_c 4.505
_cell_angle_alpha 90.00
_cell_angle_beta 90.00
_cell_angle_gamma 90.00
loop_
_atom_site_label
_atom_site_type_symbol
_atom_site_fract_x
_atom_site_fract_y
_atom_site_fract_z
Fe1 Fe 0.000 0.000 0.000
W1 W 0.000 0.000 0.500
W2 W 0.000 0.500 0.000
W3 W 0.500 0.000 0.000
Se1 Se 0.500 0.500 0.500
```

No. 3
Here is an optimized crystal structure of HfZrInPd from the Alexandria database. Energies are from PBE.

Calculated values
mass density = 10.08 g cm⁻³
symmetry = No. 99
E_form = -0.420 eV/atom
total DFT energy (no corrections) = -0.517 Ry per atom

Cell and atoms, written as CIF:
```
data_HfZrInPd
_chemical_formula_sum 'Hf1 Zr1 In1 Pd1'
_space_group_name_H-M_alt 'P 1'
_space_group_IT_number 1
_space_group_name_Hall 'P 1'
_cell_length_a 3.161
_cell_length_b 3.161
_cell_length_c 8.098
_cell_angle_alpha 90.00
_cell_angle_beta 90.00
_cell_angle_gamma 90.00
loop_
_atom_site_label
_atom_site_type_symbol
_atom_site_fract_x
_atom_site_fract_y
_atom_site_fract_z
Hf1 Hf 0.000 0.000 0.000
Zr1 Zr 0.000 0.000 0.546
In1 In 0.500 0.500 0.273
Pd1 Pd 0.500 0.500 0.785
```